No. 1
VASP calculation (PBE) on crystalline Ti2InW at its relaxed geometry.

Cell lengths 3.296, 3.296, 6.484 Å; angles 90.00, 90.00, 90.00 degrees
Element x y z (fractional)
Ti: 0.000 0.000 0.220
Ti: 0.000 0.000 0.780
In: 0.500 0.500 0.500
W: 0.500 0.500 0.000

## Properties
* ΔH_f (0 K): -0.68 eV/f.u.
* density of states at the Fermi level: 0.831 states/eV/atom
* E: -32.17 eV/f.u.

=====

No. 2
VASP calculation (PBE) on crystalline AcTb3NdTm at its relaxed geometry.

Cell lengths 10.159, 10.159, 7.575 Å; angles 91.24, 91.24, 32.71 degrees
Element x y z (fractional)
Ac: 0.142 0.142 0.023
Ac: 0.858 0.858 0.977
Tb: 0.023 0.023 0.707
Tb: 0.281 0.281 0.750
Tb: 0.334 0.334 0.288
Tb: 0.666 0.666 0.712
Tb: 0.719 0.719 0.250
Tb: 0.977 0.977 0.293
Nd: 0.451 0.451 0.712
Nd: 0.549 0.549 0.288
Tm: 0.154 0.154 0.454
Tm: 0.846 0.846 0.546

## Properties
* ΔH_f (0 K): 1.33 eV/f.u.
* density of states at the Fermi level: 1.600 states/eV/atom
* E: -25.90 eV/f.u.

=====

No. 3
VASP calculation (PBE) on crystalline NpAg2O7 at its relaxed geometry.

Cell lengths 6.643, 6.643, 8.544 Å; angles 115.75, 115.75, 65.21 degrees
Element x y z (fractional)
Np: 0.150 0.850 0.750
Np: 0.850 0.150 0.250
Ag: 0.208 0.442 0.201
Ag: 0.442 0.208 0.701
Ag: 0.558 0.792 0.299
Ag: 0.792 0.558 0.799
O: 0.035 0.789 0.060
O: 0.046 0.329 0.331
O: 0.182 0.785 0.463
O: 0.211 0.965 0.440
O: 0.215 0.818 0.037
O: 0.329 0.046 0.831
O: 0.431 0.569 0.750
O: 0.569 0.431 0.250
O: 0.671 0.954 0.169
O: 0.785 0.182 0.963
O: 0.789 0.035 0.560
O: 0.818 0.215 0.537
O: 0.954 0.671 0.669
O: 0.965 0.211 0.940

## Properties
* density of states at the Fermi level: 0.552 states/eV/atom
* E: -63.16 eV/f.u.

=====

No. 4
VASP calculation (PBE) on crystalline YIn2Mo at its relaxed geometry.

Cell lengths 5.451, 5.451, 3.132 Å; angles 90.00, 90.00, 111.01 degrees
Element x y z (fractional)
Y: 0.000 0.000 0.000
In: 0.000 0.500 0.500
In: 0.500 0.000 0.500
Mo: 0.500 0.500 0.000

## Properties
* ΔH_f (0 K): 0.59 eV/f.u.
* energy above the lowest structure with this stoichiometry: 0.572 eV/f.u.
* density of states at the Fermi level: 0.737 states/eV/atom
* E: -22.18 eV/f.u.

=====

No. 5
VASP calculation (PBE) on crystalline LiAu at its relaxed geometry.

Cell lengths 4.499, 4.499, 4.499 Å; angles 38.92, 38.92, 38.92 degrees
Element x y z (fractional)
Li: 0.000 0.000 0.000
Au: 0.500 0.500 0.500

## Properties
* ΔH_f (0 K): -0.78 eV/f.u.
* density of states at the Fermi level: 0.283 states/eV/atom
* E: -5.97 eV/f.u.

=====

E of number 4 (YIn2Mo)?
-22.18 eV/f.u.

=====

Which formula does entry 4 have?
YIn2Mo